An optimized crystal structure of Ti6NbPd5. Source: Alexandria, functional GGA-PBE.

```
Ti6NbPd5
1.0
-2.2626 3.1355 6.7959
2.2626 -3.1355 6.7959
2.2626 3.1355 -6.7959
Ti Nb Pd
6 1 5
Direct
0.0862 0.3373 0.7489
0.2489 0.0000 0.2489
0.4116 0.6627 0.7489
0.5884 0.3373 0.2511
0.7511 0.0000 0.7511
0.9138 0.6627 0.2511
0.5000 0.5000 0.0000
0.0000 0.5000 0.5000
0.1769 0.1769 0.0000
0.3333 0.8333 0.5000
0.6667 0.1667 0.5000
0.8231 0.8231 0.0000
```

Results
**Crystal system**: orthorhombic

=====

An optimized crystal structure of Ti2NbPd. Source: Alexandria, functional GGA-PBE.

```
Ti2NbPd
1.0
0.0000 3.1914 3.1914
3.1914 0.0000 3.1914
3.1914 3.1914 0.0000
Ti Nb Pd
2 1 1
Direct
0.2500 0.2500 0.2500
0.7500 0.7500 0.7500
0.0000 0.0000 0.0000
0.5000 0.5000 0.5000
```

Results
**Crystal system**: cubic
**E above lowest polymorph**: 73 meV per atom

=====

Number 1: energy of formation -0.44 eV per atom. Number 2: energy of formation -0.27 eV per atom.